No. 1
Density functional theory data (PBE) for a relaxed NbTl2Te8 crystal.

Lattice parameters (Å, degrees): 7.0805 8.0824 9.0437 63.59 63.15 90.19
Fractional positions:
Nb  0.0000  0.0000  0.0000
Tl  0.5379  0.3303  0.3384
Tl  0.4621  0.6697  0.6616
Te  0.9104  0.6289  0.2901
Te  0.9107  0.0820  0.2901
Te  0.0896  0.3711  0.7099
Te  0.2070  0.4324  0.1370
Te  0.0893  0.9180  0.7099
Te  0.4518  0.0755  0.8504
Te  0.5482  0.9245  0.1496
Te  0.7930  0.5676  0.8630


No. 2
Density functional theory data (PBE) for a relaxed Nb3TlTe crystal.

Lattice parameters (Å, degrees): 5.1422 5.1422 5.1422 90.00 90.00 90.00
Fractional positions:
Tl  0.0000  0.0000  0.0000
Te  0.5000  0.5000  0.5000
Nb  0.0000  0.5000  0.0000
Nb  0.0000  0.0000  0.5000
Nb  0.5000  0.0000  0.0000

relative energy among the computed polymorphs	0.591	eV per atom


No. 3
Density functional theory data (PBE) for a relaxed Nb3TlTe crystal.

Lattice parameters (Å, degrees): 5.0563 5.0563 5.0563 90.00 90.00 90.00
Fractional positions:
Tl  0.5000  0.5000  0.5000
Te  0.0000  0.0000  0.0000
Nb  0.0000  0.5000  0.0000
Nb  0.0000  0.0000  0.5000
Nb  0.5000  0.0000  0.0000

relative energy among the computed polymorphs	0.000	eV per atom


No. 4
Density functional theory data (PBE) for a relaxed Nb2TlTe crystal.

Lattice parameters (Å, degrees): 4.2703 4.2703 10.5852 78.36 78.36 90.00
Fractional positions:
Tl  0.0000  0.0000  0.0000
Tl  0.7500  0.2500  0.5000
Te  0.5000  0.5000  0.0000
Te  0.2500  0.7500  0.5000
Nb  0.6359  0.1250  0.2500
Nb  0.1141  0.6250  0.2500
Nb  0.3750  0.3641  0.7500
Nb  0.8750  0.8859  0.7500

relative energy among the computed polymorphs	0.250	eV per atom


No. 5
Density functional theory data (PBE) for a relaxed Nb6TlTe8 crystal.

Lattice parameters (Å, degrees): 10.8519 10.8519 3.6619 90.00 90.00 120.00
Fractional positions:
Nb  0.1008  0.6125  0.2517
Nb  0.5117  0.8992  0.2517
Nb  0.3875  0.4883  0.2517
Nb  0.8992  0.3875  0.7483
Nb  0.4883  0.1008  0.7483
Nb  0.6125  0.5117  0.7483
Tl  0.0000  0.0000  0.5000
Te  0.6667  0.3333  0.2490
Te  0.3333  0.6667  0.7510
Te  0.2726  0.9343  0.2465
Te  0.6617  0.7274  0.2465
Te  0.0657  0.3383  0.2465
Te  0.7274  0.0657  0.7535
Te  0.3383  0.2726  0.7535
Te  0.9343  0.6617  0.7535


No. 6
Density functional theory data (PBE) for a relaxed NbTl3Te crystal.

Lattice parameters (Å, degrees): 5.6000 5.6000 5.6000 90.00 90.00 90.00
Fractional positions:
Tl  0.0000  0.5000  0.0000
Tl  0.0000  0.0000  0.5000
Tl  0.5000  0.0000  0.0000
Te  0.5000  0.5000  0.5000
Nb  0.0000  0.0000  0.0000

relative energy among the computed polymorphs	0.000	eV per atom


No. 7
Density functional theory data (PBE) for a relaxed NbTl2Te5 crystal.

Lattice parameters (Å, degrees): 8.1013 6.3127 8.5117 111.78 118.42 90.00
Fractional positions:
Nb  0.9223  0.9223  0.8446
Tl  0.3297  0.8297  0.6592
Tl  0.8090  0.3090  0.6182
Te  0.7510  0.2528  0.9933
Te  0.2423  0.2528  0.9933
Te  0.7510  0.7406  0.9933
Te  0.2423  0.7406  0.9933
Te  0.7294  0.7293  0.4589


No. 8
Density functional theory data (PBE) for a relaxed NbTl3Te crystal.

Lattice parameters (Å, degrees): 5.9420 5.9420 5.9420 90.00 90.00 90.00
Fractional positions:
Tl  0.0000  0.5000  0.0000
Tl  0.0000  0.0000  0.5000
Tl  0.5000  0.0000  0.0000
Te  0.0000  0.0000  0.0000
Nb  0.5000  0.5000  0.5000

relative energy among the computed polymorphs	0.821	eV per atom


No. 9
Density functional theory data (PBE) for a relaxed Nb4TlTe8 crystal.

Lattice parameters (Å, degrees): 3.6604 9.5968 10.3511 84.08 79.82 79.01
Fractional positions:
Nb  0.3523  0.8539  0.4415
Nb  0.8355  0.5015  0.8274
Nb  0.1959  0.5019  0.1063
Nb  0.6791  0.1495  0.4922
Tl  0.5157  0.0016  0.9669
Te  0.1398  0.3491  0.3713
Te  0.5495  0.6776  0.2234
Te  0.4819  0.3258  0.7103
Te  0.8916  0.6543  0.5625
Te  0.8656  0.9994  0.2694
Te  0.1999  0.7053  0.8948
Te  0.1658  0.0041  0.6643
Te  0.8315  0.2981  0.0389


No. 10
Density functional theory data (PBE) for a relaxed NbTlTe2 crystal.

Lattice parameters (Å, degrees): 3.8157 4.6501 7.9268 107.09 103.81 89.98
Fractional positions:
Nb  0.4867  0.6468  0.7590
Tl  0.2131  0.8746  0.2152
Te  0.8564  0.5148  0.4967
Te  0.5790  0.2384  0.9419


No. 11
Density functional theory data (PBE) for a relaxed Nb12TlTe16 crystal.

Lattice parameters (Å, degrees): 10.8246 10.8246 14.6509 90.00 90.00 120.00
Fractional positions:
Nb  0.1014  0.4866  0.7501
Nb  0.1016  0.4870  0.0000
Nb  0.1014  0.4866  0.2499
Nb  0.1017  0.4873  0.5000
Nb  0.3852  0.8986  0.7501
Nb  0.3854  0.8984  0.0000
Nb  0.3856  0.8983  0.5000
Nb  0.3852  0.8986  0.2499
Nb  0.5134  0.6148  0.7501
Nb  0.5130  0.6146  0.0000
Nb  0.5134  0.6148  0.2499
Nb  0.5127  0.6144  0.5000
Nb  0.4907  0.3892  0.8752
Nb  0.4907  0.3892  0.1248
Nb  0.4904  0.3892  0.3749
Nb  0.4904  0.3892  0.6251
Nb  0.6108  0.1015  0.1248
Nb  0.6108  0.1015  0.8752
Nb  0.6108  0.1013  0.3749
Nb  0.6108  0.1013  0.6251
Nb  0.8985  0.5093  0.8752
Nb  0.8985  0.5093  0.1248
Nb  0.8987  0.5096  0.3749
Nb  0.8987  0.5096  0.6251
Tl  0.0000  0.0000  0.2664
Tl  0.0000  0.0000  0.7336
Te  0.0654  0.7249  0.7504
Te  0.0650  0.7256  0.0000
Te  0.0654  0.7249  0.2496
Te  0.0648  0.7260  0.5000
Te  0.3333  0.6667  0.8748
Te  0.3333  0.6667  0.1252
Te  0.3333  0.6667  0.3748
Te  0.3333  0.6667  0.6252
Te  0.2751  0.3405  0.7504
Te  0.2744  0.3393  0.0000
Te  0.2751  0.3405  0.2496
Te  0.2740  0.3389  0.5000
Te  0.6595  0.9346  0.7504
Te  0.6607  0.9350  0.0000
Te  0.6595  0.9346  0.2496
Te  0.6611  0.9352  0.5000
Te  0.3351  0.0654  0.8753
Te  0.3351  0.0654  0.1247
Te  0.3351  0.0652  0.3754
Te  0.3351  0.0652  0.6246
Te  0.7303  0.6649  0.1247
Te  0.7303  0.6649  0.8753
Te  0.7301  0.6649  0.3754
Te  0.7301  0.6649  0.6246
Te  0.6667  0.3333  0.7499
Te  0.6667  0.3333  0.0000
Te  0.6667  0.3333  0.5000
Te  0.6667  0.3333  0.2501
Te  0.9346  0.2697  0.8753
Te  0.9348  0.2699  0.3754
Te  0.9348  0.2699  0.6246
Te  0.9346  0.2697  0.1247


No. 12
Density functional theory data (PBE) for a relaxed Nb2TlTe crystal.

Lattice parameters (Å, degrees): 4.8606 4.8606 4.8606 60.00 60.00 60.00
Fractional positions:
Tl  0.5000  0.5000  0.5000
Te  0.0000  0.0000  0.0000
Nb  0.2500  0.2500  0.2500
Nb  0.7500  0.7500  0.7500

relative energy among the computed polymorphs	0.000	eV per atom


No. 13
Density functional theory data (PBE) for a relaxed NbTlTe2 crystal.

Lattice parameters (Å, degrees): 8.0192 8.0192 7.3007 56.69 56.69 90.00
Fractional positions:
Tl  0.0000  0.0000  0.0000
Tl  0.7500  0.2500  0.5000
Te  0.5570  0.1250  0.2500
Te  0.1930  0.6250  0.2500
Te  0.3750  0.4430  0.7500
Te  0.8750  0.8070  0.7500
Nb  0.5000  0.5000  0.0000
Nb  0.2500  0.7500  0.5000


No. 14
Density functional theory data (PBE) for a relaxed NbTl4Te4 crystal.

Lattice parameters (Å, degrees): 7.1046 9.7993 9.7993 90.00 90.00 90.00
Fractional positions:
Nb  0.0000  0.0000  0.0000
Nb  0.5000  0.5000  0.5000
Tl  0.3229  0.2761  0.9997
Tl  0.8229  0.5003  0.7761
Tl  0.3229  0.7239  0.0003
Tl  0.1771  0.2239  0.5003
Tl  0.6771  0.9997  0.7239
Tl  0.1771  0.7761  0.4997
Tl  0.8229  0.4997  0.2239
Tl  0.6771  0.0003  0.2761
Te  0.7106  0.7274  0.4997
Te  0.7106  0.2726  0.5003
Te  0.2106  0.9997  0.7726
Te  0.7894  0.2274  0.9997
Te  0.7894  0.7726  0.0003
Te  0.2894  0.4997  0.2726
Te  0.2894  0.5003  0.7274
Te  0.2106  0.0003  0.2274


No. 15
Density functional theory data (PBE) for a relaxed Nb12TlTe16 crystal.

Lattice parameters (Å, degrees): 11.4205 11.4205 10.8270 61.74 61.74 37.45
Fractional positions:
Nb  0.1172  0.1172  0.8987
Nb  0.6196  0.6196  0.8989
Nb  0.3247  0.3247  0.6155
Nb  0.8236  0.8236  0.6139
Nb  0.1808  0.1808  0.4890
Nb  0.6841  0.6841  0.4849
Nb  0.8696  0.3898  0.1012
Nb  0.3898  0.8696  0.1012
Nb  0.6720  0.1794  0.3892
Nb  0.1794  0.6720  0.3892
Nb  0.8303  0.3088  0.5095
Nb  0.3088  0.8303  0.5095
Tl  0.3757  0.3757  0.9977
Te  0.5414  0.5414  0.3373
Te  0.0421  0.0421  0.3293
Te  0.4574  0.9592  0.6670
Te  0.9592  0.4574  0.6670
Te  0.7401  0.7401  0.9330
Te  0.2351  0.2351  0.9372
Te  0.8435  0.8435  0.3381
Te  0.3413  0.3413  0.3418
Te  0.5466  0.5466  0.7196
Te  0.0432  0.0432  0.7305
Te  0.2612  0.7582  0.0655
Te  0.7582  0.2612  0.0655
Te  0.1552  0.6600  0.6649
Te  0.6600  0.1552  0.6649
Te  0.4580  0.9567  0.2700
Te  0.9567  0.4580  0.2700


No. 16
Density functional theory data (PBE) for a relaxed Nb2Tl2VTe6 crystal.

Lattice parameters (Å, degrees): 6.6828 6.6828 9.0056 98.40 98.40 121.13
Fractional positions:
Nb  0.3058  0.6942  0.5000
Nb  0.6942  0.3058  0.5000
Tl  0.8446  0.1554  0.0000
Tl  0.1554  0.8446  0.0000
V  0.0000  0.0000  0.5000
Te  0.7296  0.7296  0.6782
Te  0.0995  0.4125  0.7109
Te  0.2704  0.2704  0.3218
Te  0.4125  0.0995  0.7109
Te  0.9005  0.5875  0.2891
Te  0.5875  0.9005  0.2891


No. 17
Density functional theory data (PBE) for a relaxed Nb2TlTeW crystal.

Lattice parameters (Å, degrees): 4.9461 5.3186 4.9461 90.00 90.00 90.00
Fractional positions:
Tl  0.0000  0.5000  0.0000
Te  0.5000  0.5000  0.5000
Nb  0.0000  0.0000  0.5000
Nb  0.5000  0.0000  0.0000
W  0.0000  0.0000  0.0000


No. 18
Density functional theory data (PBE) for a relaxed YNbTlTe2 crystal.

Lattice parameters (Å, degrees): 5.4002 5.4449 5.4002 90.00 90.00 90.00
Fractional positions:
Y  0.5000  0.5000  0.5000
Tl  0.0000  0.5000  0.0000
Te  0.0000  0.0000  0.5000
Te  0.5000  0.0000  0.0000
Nb  0.0000  0.0000  0.0000


No. 19
Density functional theory data (PBE) for a relaxed ZrNb2Tl2Te6 crystal.

Lattice parameters (Å, degrees): 6.7514 6.7514 9.0187 97.66 97.66 120.92
Fractional positions:
Zr  0.0000  0.0000  0.5000
Nb  0.3060  0.6940  0.5000
Nb  0.6940  0.3060  0.5000
Tl  0.8502  0.1498  0.0000
Tl  0.1498  0.8502  0.0000
Te  0.7093  0.7093  0.6841
Te  0.0903  0.4212  0.7160
Te  0.2907  0.2907  0.3159
Te  0.4212  0.0903  0.7160
Te  0.9097  0.5788  0.2840
Te  0.5788  0.9097  0.2840


No. 20
Density functional theory data (PBE) for a relaxed TmNb4Te8 crystal.

Lattice parameters (Å, degrees): 7.5143 7.5143 8.6974 90.00 115.59 120.00
Fractional positions:
Tm  0.0000  0.5000  0.5000
Nb  0.0000  0.0000  0.0000
Nb  0.0000  0.5000  0.0000
Nb  0.5000  0.5000  0.0000
Nb  0.5000  0.0000  0.0000
Te  0.4941  0.7471  0.2412
Te  0.5059  0.2529  0.7588
Te  0.4857  0.2429  0.2415
Te  0.0013  0.2442  0.7585
Te  0.5143  0.7571  0.7585
Te  0.0013  0.7571  0.7584
Te  0.9987  0.2429  0.2415
Te  0.9987  0.7558  0.2415


Number 1: raw formation energy -97 meV/atom. Number 2: raw formation energy 1869 meV/atom. Number 3: raw formation energy 1278 meV/atom. Number 4: raw formation energy 543 meV/atom. Number 5: raw formation energy -436 meV/atom. Number 6: raw formation energy 648 meV/atom. Number 7: raw formation energy -139 meV/atom. Number 8: raw formation energy 1469 meV/atom. Number 9: raw formation energy -372 meV/atom. Number 10: raw formation energy -21 meV/atom. Number 11: raw formation energy -456 meV/atom. Number 12: raw formation energy 293 meV/atom. Number 13: raw formation energy 7 meV/atom. Number 14: raw formation energy -247 meV/atom. Number 15: raw formation energy -457 meV/atom. Number 16: raw formation energy -313 meV/atom. Number 17: raw formation energy 1194 meV/atom. Number 18: raw formation energy 130 meV/atom. Number 19: raw formation energy -462 meV/atom. Number 20: raw formation energy -488 meV/atom.